First-principles (PBE-GGA) data for a relaxed structure of Pm2Si5Pt3, as listed in the Alexandria database.

Computed properties:
- ΔE_f (raw) (eV per atom) = -0.998

a = 8.238 Å, b = 8.238 Å, c = 8.238 Å
α = 105.27°, β = 90.57°, γ = 136.61°
Element x y z (fractional)
1 Pm 0.129 0.232 0.361
2 Pm 0.371 0.732 0.102
3 Pm 0.629 0.268 0.898
4 Pm 0.871 0.768 0.639
5 Si 0.021 0.750 0.271
6 Si 0.113 0.650 0.763
7 Si 0.250 0.250 0.000
8 Si 0.387 0.150 0.536
9 Si 0.479 0.750 0.729
10 Si 0.521 0.250 0.271
11 Si 0.613 0.850 0.464
12 Si 0.750 0.750 0.000
13 Si 0.887 0.350 0.237
14 Si 0.979 0.250 0.729
15 Pt 0.136 0.889 0.025
16 Pt 0.250 0.750 0.500
17 Pt 0.364 0.389 0.753
18 Pt 0.636 0.611 0.247
19 Pt 0.750 0.250 0.500
20 Pt 0.864 0.111 0.975



First-principles (PBE-GGA) data for a relaxed structure of Ba2BiSb3, as listed in the Alexandria database.

Computed properties:
- E above lowest polymorph (eV/f.u.) = 0.00
- ΔE_f (raw) (eV per atom) = -0.639

a = 8.479 Å, b = 5.203 Å, c = 20.502 Å
α = 90.00°, β = 90.00°, γ = 90.00°
Element x y z (fractional)
1 Ba 0.131 0.250 0.206
2 Ba 0.136 0.250 0.411
3 Ba 0.364 0.750 0.911
4 Ba 0.369 0.750 0.706
5 Ba 0.631 0.250 0.294
6 Ba 0.636 0.250 0.089
7 Ba 0.864 0.750 0.589
8 Ba 0.869 0.750 0.794
9 Bi 0.084 0.750 0.070
10 Bi 0.416 0.250 0.570
11 Bi 0.584 0.750 0.430
12 Bi 0.916 0.250 0.930
13 Sb 0.083 0.250 0.674
14 Sb 0.183 0.250 0.809
15 Sb 0.233 0.250 0.022
16 Sb 0.267 0.750 0.522
17 Sb 0.317 0.750 0.309
18 Sb 0.417 0.750 0.174
19 Sb 0.583 0.250 0.826
20 Sb 0.683 0.250 0.691
21 Sb 0.733 0.250 0.478
22 Sb 0.767 0.750 0.978
23 Sb 0.817 0.750 0.191
24 Sb 0.917 0.750 0.326



First-principles (PBE-GGA) data for a relaxed structure of LiPmIn6, as listed in the Alexandria database.

Computed properties:
- formation enthalpy at 0 K (eV per atom) = -0.264

a = 6.528 Å, b = 6.528 Å, c = 4.711 Å
α = 90.00°, β = 90.00°, γ = 90.00°
Element x y z (fractional)
1 Li 0.000 0.000 0.000
2 Pm 0.500 0.500 0.000
3 In 0.000 0.500 0.000
4 In 0.244 0.244 0.500
5 In 0.244 0.756 0.500
6 In 0.500 0.000 0.000
7 In 0.756 0.244 0.500
8 In 0.756 0.756 0.500



First-principles (PBE-GGA) data for a relaxed structure of CaHoH6Ir2, as listed in the Alexandria database.

Computed properties:
- final energy (eV/atom) = -4.91

a = 6.038 Å, b = 6.038 Å, c = 6.107 Å
α = 101.30°, β = 101.30°, γ = 101.59°
Element x y z (fractional)
1 Ca 0.157 0.843 0.750
2 Ca 0.843 0.157 0.250
3 Ho 0.399 0.601 0.250
4 Ho 0.601 0.399 0.750
5 H 0.062 0.564 0.382
6 H 0.184 0.197 0.056
7 H 0.197 0.184 0.556
8 H 0.314 0.541 0.871
9 H 0.436 0.938 0.118
10 H 0.459 0.686 0.629
11 H 0.541 0.314 0.371
12 H 0.564 0.062 0.882
13 H 0.686 0.459 0.129
14 H 0.803 0.816 0.444
15 H 0.816 0.803 0.944
16 H 0.938 0.436 0.618
17 Ir 0.069 0.322 0.819
18 Ir 0.322 0.069 0.319
19 Ir 0.678 0.931 0.681
20 Ir 0.931 0.678 0.181